VASP calculation (GGA-PBE) on a relaxed LiMnIn3 crystal.

Results
DFT formation energy, eV per atom: 0.955
E above lowest polymorph, eV/atom: 0.769
Calculated volume, Å³/cell: 111.8
Calculated density, g/cm³: 6.0

Cell: 4.8169 4.8169 4.8169 Å, 90.00 90.00 90.00°
Closest atoms and distances in Å follow each position.
Space group Pm-3m (No. 221)
Symmetry-distinct sites (fractional):
1 Li 0.0000 0.0000 0.0000 (multiplicity 1)  6 In 2.41
2 Mn 0.5000 0.5000 0.5000 (multiplicity 1)  12 In 3.41
3 In 0.0000 0.0000 0.5000 (multiplicity 3)  2 Li 2.41